(1)
Material: KMg2Tl
Method: DFT, GGA-PBE
State: relaxed

Cell: 10.7786 10.7786 10.7786 Å, 148.22 148.22 45.56°
Sites, in units of the cell vectors:
1 K 0.3750 0.6250 0.7500
2 K 0.6250 0.3750 0.2500
3 Mg 0.0000 0.0000 0.0000
4 Mg 0.0000 0.0000 0.5000
5 Mg 0.0000 0.5000 0.0000
6 Mg 0.5000 0.0000 0.5000
7 Tl 0.1250 0.8750 0.2500
8 Tl 0.8750 0.1250 0.7500

Output
- energy of formation from the pure elements (eV/atom) = 0.23
- offset from the most stable computed form (eV per atom) = 0.1883

=====

(2)
Material: KMgTl2
Method: DFT, GGA-PBE
State: relaxed

Cell: 6.2853 6.2853 6.2853 Å, 133.83 133.83 67.36°
Sites, in units of the cell vectors:
1 K 0.0000 0.0000 0.0000
2 Mg 0.2500 0.7500 0.5000
3 Tl 0.5000 0.5000 0.0000
4 Tl 0.7500 0.2500 0.5000

Output
- energy of formation from the pure elements (eV/atom) = 0.05

=====

(3)
Material: KMg6Tl6
Method: DFT, GGA-PBE
State: relaxed

Cell: 8.0534 8.0534 8.0534 Å, 133.53 102.43 95.51°
Sites, in units of the cell vectors:
1 K 0.0000 0.0000 0.0000
2 Mg 0.0000 0.0000 0.5000
3 Mg 0.0000 0.5000 0.0000
4 Mg 0.2423 0.5000 0.7423
5 Mg 0.5000 0.0000 0.0000
6 Mg 0.5000 0.5000 0.5000
7 Mg 0.7577 0.5000 0.2577
8 Tl 0.1794 0.6794 0.5000
9 Tl 0.3412 0.3412 0.0000
10 Tl 0.3436 0.0000 0.3436
11 Tl 0.6564 0.0000 0.6564
12 Tl 0.6588 0.6588 0.0000
13 Tl 0.8206 0.3206 0.5000

Output
- energy of formation from the pure elements (eV/atom) = -0.05

=====

(4)
Material: KMgTl2
Method: DFT, GGA-PBE
State: relaxed

Cell: 6.6457 6.6457 6.6457 Å, 144.98 129.49 62.94°
Sites, in units of the cell vectors:
1 K 0.0000 0.0000 0.0000
2 Mg 0.2764 0.7764 0.5000
3 Tl 0.4928 0.4928 0.0000
4 Tl 0.7280 0.2280 0.5000

Output
- energy of formation from the pure elements (eV/atom) = 0.04

=====

(5)
Material: KMgTl2
Method: DFT, GGA-PBE
State: relaxed

Cell: 10.9264 10.9264 10.9264 Å, 150.18 150.18 42.68°
Sites, in units of the cell vectors:
1 K 0.0000 0.0000 0.0000
2 K 0.7500 0.2500 0.5000
3 Mg 0.2500 0.7500 0.5000
4 Mg 0.5000 0.5000 0.0000
5 Tl 0.2640 0.6250 0.1390
6 Tl 0.3750 0.5140 0.6390
7 Tl 0.4860 0.1250 0.8610
8 Tl 0.8750 0.7360 0.3610

Output
- energy of formation from the pure elements (eV/atom) = 0.13

=====

(6)
Material: K2Mg2Tl5
Method: DFT, GGA-PBE
State: relaxed

Cell: 10.1573 10.1573 8.0396 Å, 90.00 90.00 46.34°
Sites, in units of the cell vectors:
1 K 0.2181 0.2181 0.0000
2 K 0.2819 0.2819 0.5000
3 K 0.7181 0.7181 0.5000
4 K 0.7819 0.7819 0.0000
5 Mg 0.1381 0.8619 0.6375
6 Mg 0.3619 0.6381 0.1375
7 Mg 0.6381 0.3619 0.8625
8 Mg 0.8619 0.1381 0.3625
9 Tl 0.0000 0.0000 0.0000
10 Tl 0.0509 0.7330 0.3409
11 Tl 0.2330 0.5509 0.8409
12 Tl 0.2670 0.9491 0.3409
13 Tl 0.4491 0.7670 0.8409
14 Tl 0.5000 0.5000 0.5000
15 Tl 0.5509 0.2330 0.1591
16 Tl 0.7330 0.0509 0.6591
17 Tl 0.7670 0.4491 0.1591
18 Tl 0.9491 0.2670 0.6591

Output
- energy of formation from the pure elements (eV/atom) = -0.06

=====

(7)
Material: KMg2Tl
Method: DFT, GGA-PBE
State: relaxed

Cell: 6.4130 6.4130 3.3688 Å, 90.00 90.00 114.86°
Sites, in units of the cell vectors:
1 K 0.0000 0.0000 0.0000
2 Mg 0.0000 0.5000 0.5000
3 Mg 0.5000 0.0000 0.5000
4 Tl 0.5000 0.5000 0.0000

Output
- energy of formation from the pure elements (eV/atom) = 0.21
- offset from the most stable computed form (eV per atom) = 0.1711

=====

(8)
Material: KMg2Tl
Method: DFT, GGA-PBE
State: relaxed

Cell: 5.4120 5.4120 5.4120 Å, 60.00 60.00 60.00°
Sites, in units of the cell vectors:
1 K 0.0000 0.0000 0.0000
2 Mg 0.2500 0.2500 0.2500
3 Mg 0.7500 0.7500 0.7500
4 Tl 0.5000 0.5000 0.5000

Output
- energy of formation from the pure elements (eV/atom) = 0.10
- offset from the most stable computed form (eV per atom) = 0.0633

=====

(9)
Material: K2MgTl
Method: DFT, GGA-PBE
State: relaxed

Cell: 6.8950 6.8897 5.1448 Å, 68.14 68.03 43.83°
Sites, in units of the cell vectors:
1 K 0.2500 0.2500 0.2500
2 K 0.7500 0.7500 0.7500
3 Mg 0.0000 0.0000 0.0000
4 Tl 0.5000 0.5000 0.5000

Output
- energy of formation from the pure elements (eV/atom) = 0.12

=====

(10)
Material: K2MgTl
Method: DFT, GGA-PBE
State: relaxed

Cell: 12.6752 12.6752 12.6752 Å, 17.45 17.45 17.45°
Sites, in units of the cell vectors:
1 K 0.2467 0.2467 0.2467
2 K 0.7533 0.7533 0.7533
3 Mg 0.0000 0.0000 0.0000
4 Tl 0.5000 0.5000 0.5000

Output
- energy of formation from the pure elements (eV/atom) = 0.17

=====

(11)
Material: KMg4Tl8
Method: DFT, GGA-PBE
State: relaxed

Cell: 9.3363 9.3363 9.3363 Å, 46.98 46.98 46.98°
Sites, in units of the cell vectors:
1 K 0.0000 0.0000 0.0000
2 Mg 0.0000 0.5000 0.5000
3 Mg 0.5000 0.0000 0.5000
4 Mg 0.5000 0.5000 0.0000
5 Mg 0.5000 0.5000 0.5000
6 Tl 0.1957 0.7448 0.7448
7 Tl 0.2269 0.2269 0.2269
8 Tl 0.2552 0.2552 0.8043
9 Tl 0.2552 0.8043 0.2552
10 Tl 0.7448 0.1957 0.7448
11 Tl 0.7448 0.7448 0.1957
12 Tl 0.7731 0.7731 0.7731
13 Tl 0.8043 0.2552 0.2552

Output
- energy of formation from the pure elements (eV/atom) = 0.12
- offset from the most stable computed form (eV per atom) = 0.1568

=====

(12)
Material: K2MgTl
Method: DFT, GGA-PBE
State: relaxed

Cell: 4.8412 5.2112 7.3216 Å, 90.00 109.20 90.00°
Sites, in units of the cell vectors:
1 K 0.0000 0.0000 0.0000
2 K 0.3140 0.5000 0.6292
3 Mg 0.6127 0.5000 0.2217
4 Tl 0.7111 0.0000 0.4225

Output
- energy of formation from the pure elements (eV/atom) = 0.04

=====

(13)
Material: KMg6Tl4
Method: DFT, GGA-PBE
State: relaxed

Cell: 8.6261 8.6261 4.5963 Å, 90.00 90.00 120.00°
Sites, in units of the cell vectors:
1 K 0.0000 0.0000 0.0000
2 Mg 0.2070 0.4139 0.5000
3 Mg 0.2070 0.7930 0.5000
4 Mg 0.5330 0.0661 0.0000
5 Mg 0.5330 0.4670 0.0000
6 Mg 0.5861 0.7930 0.5000
7 Mg 0.9339 0.4670 0.0000
8 Tl 0.3333 0.6667 0.0000
9 Tl 0.3902 0.1951 0.5000
10 Tl 0.8049 0.1951 0.5000
11 Tl 0.8049 0.6098 0.5000

Output
- energy of formation from the pure elements (eV/atom) = -0.05

=====

(14)
Material: KMg2Tl
Method: DFT, GGA-PBE
State: relaxed

Cell: 5.6014 5.6014 6.8246 Å, 96.75 96.75 35.66°
Sites, in units of the cell vectors:
1 K 0.0000 0.0000 0.0000
2 Mg 0.2349 0.2349 0.6916
3 Mg 0.7651 0.7651 0.3084
4 Tl 0.5000 0.5000 0.5000

Output
- energy of formation from the pure elements (eV/atom) = 0.10
- offset from the most stable computed form (eV per atom) = 0.0608

=====

(15)
Material: KMgTlV2
Method: DFT, GGA-PBE
State: relaxed

Cell: 5.3525 5.3525 5.4948 Å, 90.00 90.00 90.00°
Sites, in units of the cell vectors:
1 K 0.0000 0.0000 0.0000
2 Mg 0.5000 0.5000 0.5000
3 Tl 0.5000 0.5000 0.0000
4 V 0.0000 0.5000 0.5000
5 V 0.5000 0.0000 0.5000

Output
- energy of formation from the pure elements (eV/atom) = 1.24

=====

(16)
Material: KTmMg4
Method: DFT, GGA-PBE
State: relaxed

Cell: 6.2381 6.2381 6.2381 Å, 60.00 60.00 60.00°
Sites, in units of the cell vectors:
1 K 0.0000 0.0000 0.0000
2 Tm 0.7500 0.7500 0.7500
3 Mg 0.3762 0.3762 0.3762
4 Mg 0.3762 0.3762 0.8715
5 Mg 0.3762 0.8715 0.3762
6 Mg 0.8715 0.3762 0.3762

Output
- energy of formation from the pure elements (eV/atom) = 0.16

=====

(17)
Material: KMgV
Method: DFT, GGA-PBE
State: relaxed

Cell: 5.6276 5.6276 6.6411 Å, 90.00 90.00 90.00°
Sites, in units of the cell vectors:
1 K 0.2500 0.2500 0.0039
2 K 0.7500 0.7500 0.9961
3 Mg 0.2500 0.7500 0.5000
4 Mg 0.7500 0.2500 0.5000
5 V 0.2500 0.2500 0.5027
6 V 0.7500 0.7500 0.4973

Output
- energy of formation from the pure elements (eV/atom) = 0.94
- offset from the most stable computed form (eV per atom) = 0.5730

=====

(18)
Material: KMgV
Method: DFT, GGA-PBE
State: relaxed

Cell: 3.3185 3.3198 15.0630 Å, 89.68 89.78 89.98°
Sites, in units of the cell vectors:
1 K 0.2433 0.2392 0.3634
2 K 0.7567 0.7608 0.6366
3 Mg 0.2527 0.2540 0.8455
4 Mg 0.7473 0.7460 0.1545
5 V 0.2494 0.2492 0.0316
6 V 0.7506 0.7508 0.9684

Output
- energy of formation from the pure elements (eV/atom) = 0.37
- offset from the most stable computed form (eV per atom) = 0.0000

=====

(19)
Material: KMgV
Method: DFT, GGA-PBE
State: relaxed

Cell: 4.9261 4.9451 11.0663 Å, 89.91 89.85 60.18°
Sites, in units of the cell vectors:
1 K 0.0000 0.0000 0.0000
2 K 0.3370 0.3286 0.3734
3 Mg 0.0020 0.9969 0.6627
4 Mg 0.3327 0.3309 0.7110
5 V 0.6667 0.6648 0.7707
6 V 0.6684 0.6632 0.6036

Output
- energy of formation from the pure elements (eV/atom) = 0.54
- offset from the most stable computed form (eV per atom) = 0.1704

=====

(20)
Material: KMgV
Method: DFT, GGA-PBE
State: relaxed

Cell: 5.6166 5.6166 6.3558 Å, 90.00 90.00 120.00°
Sites, in units of the cell vectors:
1 K 0.0000 0.0000 0.0000
2 K 0.0000 0.0000 0.5000
3 Mg 0.3333 0.6667 0.2500
4 Mg 0.6667 0.3333 0.7500
5 V 0.3333 0.6667 0.7500
6 V 0.6667 0.3333 0.2500

Output
- energy of formation from the pure elements (eV/atom) = 1.00
- offset from the most stable computed form (eV per atom) = 0.6338

=====

(21)
Material: KMgV
Method: DFT, GGA-PBE
State: relaxed

Cell: 4.3895 4.4070 11.8118 Å, 81.11 81.20 71.04°
Sites, in units of the cell vectors:
1 K 0.0000 0.0000 0.0000
2 K 0.4152 0.4114 0.3288
3 Mg 0.3303 0.3260 0.6409
4 Mg 0.6540 0.6540 0.7808
5 V 0.7373 0.7338 0.5429
6 V 0.9761 0.9702 0.5830

Output
- energy of formation from the pure elements (eV/atom) = 0.58
- offset from the most stable computed form (eV per atom) = 0.2130

=====

(22)
Material: KMgV
Method: DFT, GGA-PBE
State: relaxed

Cell: 5.9928 5.9928 11.1964 Å, 90.00 90.00 120.00°
Sites, in units of the cell vectors:
1 K 0.3333 0.6667 0.2500
2 K 0.6667 0.3333 0.7500
3 Mg 0.0000 0.0000 0.2500
4 Mg 0.0000 0.0000 0.7500
5 V 0.0000 0.0000 0.0000
6 V 0.0000 0.0000 0.5000

Output
- energy of formation from the pure elements (eV/atom) = 1.56
- offset from the most stable computed form (eV per atom) = 1.1867

=====

(23)
Material: KMg6V
Method: DFT, GGA-PBE
State: relaxed

Cell: 5.2780 6.5196 6.5196 Å, 59.93 90.00 90.00°
Sites, in units of the cell vectors:
1 K 0.0000 0.0000 0.0000
2 Mg 0.0000 0.0172 0.4914
3 Mg 0.0000 0.4914 0.0172
4 Mg 0.0000 0.4920 0.4920
5 Mg 0.5000 0.3501 0.8269
6 Mg 0.5000 0.8256 0.8256
7 Mg 0.5000 0.8269 0.3501
8 V 0.5000 0.3342 0.3342

Output
- energy of formation from the pure elements (eV/atom) = 0.33
- offset from the most stable computed form (eV per atom) = 0.0605

=====

(24)
Material: KMg6V
Method: DFT, GGA-PBE
State: relaxed

Cell: 7.7162 7.7162 3.4058 Å, 90.00 90.00 90.00°
Sites, in units of the cell vectors:
1 K 0.0000 0.0000 0.0000
2 Mg 0.0000 0.5000 0.0000
3 Mg 0.2899 0.2899 0.5000
4 Mg 0.2899 0.7101 0.5000
5 Mg 0.5000 0.0000 0.0000
6 Mg 0.7101 0.2899 0.5000
7 Mg 0.7101 0.7101 0.5000
8 V 0.5000 0.5000 0.0000

Output
- energy of formation from the pure elements (eV/atom) = 0.27
- offset from the most stable computed form (eV per atom) = 0.0000

=====

(25)
Material: KMgV
Method: DFT, GGA-PBE
State: relaxed

Cell: 5.6298 5.6298 6.5822 Å, 90.00 90.00 113.72°
Sites, in units of the cell vectors:
1 K 0.1317 0.8683 0.7500
2 K 0.8683 0.1317 0.2500
3 Mg 0.5000 0.5000 0.0000
4 Mg 0.5000 0.5000 0.5000
5 V 0.2378 0.7622 0.2500
6 V 0.7622 0.2378 0.7500

Output
- energy of formation from the pure elements (eV/atom) = 1.11
- offset from the most stable computed form (eV per atom) = 0.7369

=====

(26)
Material: KMgV
Method: DFT, GGA-PBE
State: relaxed

Cell: 3.1679 4.6077 12.6910 Å, 95.15 93.56 92.04°
Sites, in units of the cell vectors:
1 K 0.0000 0.0000 0.0000
2 K 0.1396 0.4270 0.6882
3 Mg 0.5670 0.5594 0.2134
4 Mg 0.5759 0.8684 0.4752
5 V 0.1516 0.0659 0.2946
6 V 0.9905 0.3616 0.3938

Output
- energy of formation from the pure elements (eV/atom) = 0.46
- offset from the most stable computed form (eV per atom) = 0.0924